Density functional theory data (PBE-GGA) for a relaxed Pr3GaAg crystal.

Computed properties:
The distance to the lowest polymorph of the same formula comes out at 0.0 meV per atom. The magnetic moment is 0.69 μB per cell. The density of states at the Fermi level is 25.8 states/eV per cell. The calculation puts the raw total energy at -86.82 eV per cell. Its crystal system is orthorhombic.

Cell: 5.3438 19.9787 5.3530 Å, 90.00 90.00 90.00°
Last column: nearest neighbours and their distance in Å.
Space group Cmcm (No. 63)
Symmetry-distinct sites (fractional):
Pr 0.0000 0.0630 0.2500 (multiplicity 4)  2 Ga 3.24, 2 Ag 3.25
Pr 0.0000 0.2480 0.2500 (multiplicity 4)  4 Ag 3.24-3.29, 4 Ga 3.27-3.31
Pr 0.0000 0.4314 0.2500 (multiplicity 4)  2 Ga 3.17, 2 Ag 3.20
Ga 0.0000 0.1543 0.7500 (multiplicity 4)  8 Pr 3.17-3.31
Ag 0.0000 0.3440 0.7500 (multiplicity 4)  8 Pr 3.20-3.29